The following is a DFT calculation (GGA-PBE) of crystalline Ac2ZrAs4 at its relaxed geometry.

Cell and atoms, written as POSCAR:
```
Ac2ZrAs4
1.0
-4.242 4.242 3.511
4.242 -4.242 3.511
4.242 4.242 -3.511
Ac Zr As
2 1 4
Cartesian
4.242 0.000 1.755 Ac
0.000 4.242 1.755 Ac
0.000 0.000 0.000 Zr
4.242 2.488 0.000 As
2.488 4.242 0.000 As
1.753 0.000 3.511 As
0.000 1.753 3.511 As
```

Output
- total moment (μB per formula unit) = 1.43
- raw total energy (eV/atom) = -4.710